First-principles (GGA-PBEsol) data for La2CuN2F2 after structural relaxation, as listed in Alexandria via LeMat-Bulk.

Geometry as POSCAR:
```
La2CuN2F2
1.0
-3.442 -1.705 -0.986
-0.357 -1.412 3.688
-1.247 6.903 0.389
N La Cu F
2 2 1 2
Direct
0.500 0.000 0.000
0.000 0.500 0.000
0.624 0.624 0.248
0.376 0.376 0.752
0.000 0.000 0.000
0.250 0.750 0.500
0.750 0.250 0.500
```

## Properties
Its formation energy without anion corrections is -202.2 kJ/mol of atoms. Its density of states at the Fermi level is 0.079 states/eV/atom. The value obtained for the total magnetization is 0.00 Bohr magnetons per cell. The calculation puts the calculated total energy at -7.229 eV/atom.